The following is a DFT calculation (GGA-PBE) of YPuBr6 after structural relaxation.

It has space group R-3 (No. 148, hexagonal axes), with a = 7.0940 Å, b = 7.0940 Å, c = 19.7990 Å, α = 90.00°, β = 90.00° and γ = 120.00°. The inequivalent atoms are Y at (0.0000, 0.0000, 0.0000), Pu at (0.0000, 0.0000, 0.5000) and Br at (0.0028, 0.6582, 0.7481).

The value obtained for the total energy is -5.496 eV per atom. As for the crystal system: trigonal. The uncorrected formation energy is -1.642 eV/atom. For the size of the total moment, the calculation gives 0.625 μB per atom.